(1)
The following is a PBE calculation of Ce2DySc7 after structural relaxation, from the Alexandria database.

Results
- calculated density (g/cm³) = 4.63
- space group = Cmmm (65)
- E_form (eV/f.u.) = 5.2
- calculated volume (Å³/cell) = 271.4
- DOS at the Fermi energy (states/eV/atom) = 1.770

a b c (Å): 11.718 11.718 3.131
angles (deg): 90.00 90.00 140.85
Fractional positions:
Ce1 0.116 0.884 0.000
Ce2 0.884 0.116 0.000
Dy1 0.500 0.500 0.500
Sc1 0.000 0.000 0.000
Sc2 0.169 0.472 0.000
Sc3 0.238 0.762 0.500
Sc4 0.472 0.169 0.000
Sc5 0.528 0.831 0.000
Sc6 0.762 0.238 0.500
Sc7 0.831 0.528 0.000

***

(2)
The following is a PBE calculation of Dy2PuPd3 after structural relaxation, from the Alexandria database.

Results
- calculated density (g/cm³) = 11.35
- space group = P4/mmm (123)
- E_form (eV/f.u.) = -4.4
- calculated volume (Å³/cell) = 129.9
- DOS at the Fermi energy (states/eV/atom) = 1.930

a b c (Å): 3.465 3.465 10.823
angles (deg): 90.00 90.00 90.00
Fractional positions:
Dy1 0.000 0.000 0.166
Dy2 0.000 0.000 0.834
Pu1 0.000 0.000 0.500
Pd1 0.500 0.500 0.000
Pd2 0.500 0.500 0.320
Pd3 0.500 0.500 0.680

***

(3)
The following is a PBE calculation of FeTe2AuI after structural relaxation, from the Alexandria database.

Results
- calculated density (g/cm³) = 6.35
- uncorrected formation energy (eV/atom) = 0.948
- space group = P4/mmm (123)
- calculated volume (Å³/cell) = 166.1
- energy above the lowest structure with this stoichiometry (eV per atom) = 0.434
- DOS at the Fermi energy (states/eV/atom) = 1.752

a b c (Å): 5.487 5.487 5.517
angles (deg): 90.00 90.00 90.00
Fractional positions:
Fe1 0.000 0.000 0.000
Te1 0.000 0.500 0.500
Te2 0.500 0.000 0.500
Au1 0.500 0.500 0.500
I1 0.500 0.500 0.000

***

(4)
The following is a PBE calculation of ZrCrRu after structural relaxation, from the Alexandria database.

Results
- calculated density (g/cm³) = 7.01
- space group = F-43m (216)
- E_form (eV/f.u.) = 1.0
- calculated volume (Å³/cell) = 57.9
- energy above the lowest structure with this stoichiometry (eV per atom) = 0.440
- DOS at the Fermi energy (states/eV/atom) = 1.428

a b c (Å): 4.342 4.342 4.342
angles (deg): 60.00 60.00 60.00
Fractional positions:
Zr1 0.000 0.000 0.000
Cr1 0.500 0.500 0.500
Ru1 0.250 0.250 0.250

***

(5)
The following is a PBE calculation of SmEr5Te4 after structural relaxation, from the Alexandria database.

Results
- calculated density (g/cm³) = 7.95
- uncorrected formation energy (eV/atom) = -0.869
- space group = C2/m (12)
- calculated volume (Å³/cell) = 312.8
- DOS at the Fermi energy (states/eV/atom) = 0.858

a b c (Å): 9.345 9.345 8.512
angles (deg): 102.89 102.89 25.61
Fractional positions:
Sm1 0.000 0.000 0.000
Er1 0.000 0.000 0.500
Er2 0.308 0.308 0.642
Er3 0.339 0.339 0.219
Er4 0.661 0.661 0.781
Er5 0.692 0.692 0.358
Te1 0.171 0.171 0.064
Te2 0.485 0.485 0.736
Te3 0.515 0.515 0.264
Te4 0.829 0.829 0.936

***

(6)
The following is a PBE calculation of K2IrRh after structural relaxation, from the Alexandria database.

Results
- calculated density (g/cm³) = 5.08
- space group = Cm (8)
- E_form (eV/f.u.) = 1.7
- calculated volume (Å³/cell) = 122.1
- energy above the lowest structure with this stoichiometry (eV per atom) = 0.051
- DOS at the Fermi energy (states/eV/atom) = 0.750

a b c (Å): 4.541 4.541 9.709
angles (deg): 93.29 93.29 37.66
Fractional positions:
K1 0.000 0.000 0.000
K2 0.224 0.224 0.552
Ir1 0.480 0.480 0.308
Rh1 0.746 0.746 0.244